Compound: Th8SnSb5
Source: Alexandria
Functional: PBE-GGA
Structure: optimized geometry

Geometry as POSCAR:
```
Th8SnSb5
1.0
-2.080 -5.332 -5.923
3.499 -4.068 6.249
-6.745 3.888 2.690
Th Sn Sb
8 1 5
Direct
0.127 0.753 0.020
0.980 0.107 0.733
0.769 0.249 0.375
0.625 0.394 0.874
0.480 0.606 0.231
0.626 0.893 0.873
0.267 0.247 0.374
0.126 0.751 0.520
0.250 0.500 0.750
0.001 0.377 0.127
0.873 0.874 0.250
0.750 0.623 0.624
0.500 0.000 0.500
0.376 0.126 0.999
```

Output
raw formation energy	-721	meV/atom
spin magnetization	0.000	μB/atom